1.
Computed, not measured: a relaxed structure of CuAu4 at the PBE level of DFT.

Properties
Relative energy among the computed polymorphs ... 0 meV per atom
Energy of formation from the pure elements ... -24 meV/atom
D(E_F) ... 1.01 states/eV/cell

POSCAR file:
```
CuAu4
1.0
10.2053 -0.0080 0.0081
-0.4127 2.8807 0.0000
0.4127 0.0591 2.8801
Au Cu
4 1
direct
0.1935 0.5967 0.4033
0.4065 0.2033 0.7967
0.6223 0.8111 0.1889
0.9777 0.9889 0.0111
0.8000 0.4000 0.6000
```


2.
Computed, not measured: a relaxed structure of Cu5Au3 at the PBE level of DFT.

Properties
Relative energy among the computed polymorphs ... 115 meV per atom
Energy of formation from the pure elements ... 89 meV/atom
D(E_F) ... 4.57 states/eV/cell

POSCAR file:
```
Cu5Au3
1.0
-3.3320 -3.2476 -6.1005
2.4326 -6.8245 -2.5247
-3.1128 -2.1649 2.8526
Cu Au
10 6
direct
0.3333 0.3333 0.5000
0.2017 0.9998 0.2500
0.6667 0.6667 0.5000
0.2017 0.7983 0.7500
0.7983 0.0002 0.7500
0.7984 0.2016 0.2500
0.6667 0.6667 0.0000
0.3333 0.3333 0.0000
0.0002 0.7983 0.2500
0.9998 0.2016 0.7500
0.6076 0.9999 0.2500
0.6073 0.3927 0.7500
0.0001 0.3924 0.2500
0.3927 0.6073 0.2500
0.9999 0.6076 0.7500
0.3925 0.0001 0.7500
```


3.
Computed, not measured: a relaxed structure of CuAu2 at the PBE level of DFT.

Properties
Relative energy among the computed polymorphs ... 82 meV per atom
Energy of formation from the pure elements ... 38 meV/atom
D(E_F) ... 9.66 states/eV/cell

POSCAR file:
```
CuAu2
1.0
8.2342 0.0000 0.0000
4.1171 7.1310 0.0000
4.1171 2.3770 6.7232
Au Cu
16 8
direct
0.5000 0.0000 0.0000
0.5000 0.0000 0.5000
0.5000 0.5000 0.5000
0.0596 0.5596 0.6904
0.0000 0.0000 0.5000
0.9404 0.4404 0.3096
0.0596 0.1904 0.6904
0.6904 0.5596 0.6904
0.9404 0.8096 0.9404
0.9404 0.8096 0.3096
0.0596 0.1904 0.0596
0.3096 0.4404 0.3096
0.6904 0.1904 0.0596
0.6904 0.5596 0.0596
0.3096 0.8096 0.9404
0.3096 0.4404 0.9404
0.2869 0.7869 0.6393
0.7131 0.2131 0.3607
0.7131 0.2131 0.7131
0.2869 0.7869 0.2869
0.3607 0.2131 0.7131
0.7131 0.8607 0.7131
0.6393 0.7869 0.2869
0.2869 0.1393 0.2869
```


4.
Computed, not measured: a relaxed structure of Cu3Au at the PBE level of DFT.

Properties
Energy of formation from the pure elements ... 72 meV/atom
D(E_F) ... 1.25 states/eV/cell

POSCAR file:
```
Cu3Au
1.0
-0.0052 -2.7073 -0.4253
2.0664 1.5316 -0.9458
4.2222 -1.1617 7.3436
Cu Au
3 1
direct
0.3333 0.6667 0.7311
0.0000 0.0000 0.5000
0.3333 0.6667 0.2689
0.0000 0.0000 0.0000
```